# Ba2YNi3O8 | Alexandria | PBE with a Hubbard U | optimized geometry
# uncorrected energy	-5.90	eV per atom
data_Ba2YNi3O8
_chemical_formula_sum 'Ba2 Y1 Ni3 O8'
_cell_length_a 3.946
_cell_length_b 3.946
_cell_length_c 11.579
_cell_angle_alpha 90.00
_cell_angle_beta 90.00
_cell_angle_gamma 90.00
_symmetry_space_group_name_H-M 'P 4/m m m'
_symmetry_Int_Tables_number 123
_symmetry_space_group_name_Hall '-P 4 2'
loop_
_atom_site_label
_atom_site_fract_x
_atom_site_fract_y
_atom_site_fract_z
_atom_site_occupancy
Ba1 0.000 0.000 0.172 1
Y1 0.000 0.000 0.500 1
Ni1 0.500 0.500 0.000 1
Ni2 0.500 0.500 0.343 1
O1 0.000 0.500 0.000 1
O2 0.000 0.500 0.378 1
O3 0.500 0.500 0.172 1